Entry from the Alexandria database: crystalline Na2DyRe3O12 at its relaxed geometry (PBE-GGA).

```
18
Lattice="7.514 0.081 0.057 3.781 6.494 0.057 3.781 2.201 6.110" Properties=species:S:1:pos:R:3 pbc="T T T"
O 8.163 4.752 0.484
O 3.318 1.931 3.912
O 5.794 6.097 4.325
O 6.914 4.024 5.741
O 11.759 6.845 2.313
O 6.914 6.749 1.900
Na 4.531 2.638 1.871
Re 3.757 0.040 0.029
O 11.759 4.446 5.695
Re 1.891 1.100 3.055
O 9.282 2.679 1.900
Dy 0.000 0.000 0.000
Na 10.546 6.138 4.354
Re 1.891 3.247 0.029
O 3.318 4.330 0.529
O 8.163 2.027 4.325
O 9.673 8.030 5.695
O 5.404 0.746 0.529
```

Computed properties:
Electronic total energy = -7.625 eV per atom
Volume = 294 Å³/cell
Formation energy without anion corrections = -1.8427 eV/atom